(1)
# Cu2PtF

A geometry-optimized Cu2PtF structure (PBE, the Alexandria database).

Cell: 5.9337 5.9337 5.9337 Å, 90.00 90.00 90.00°
Space group Fm-3m (No. 225)
Inequivalent atoms, fractional coordinates:
Cu  0.2500  0.2500  0.2500 (multiplicity 8)
Pt  0.0000  0.0000  0.0000 (multiplicity 4)
F  0.0000  0.0000  0.5000 (multiplicity 4)

## Properties
V	52.2	Å³/f.u.
spin magnetization	0.00	μB/f.u.
E_form (uncorrected)	-90	meV/atom
E_tot	-4.116	eV/atom

***

(2)
# CuPtF6

A geometry-optimized CuPtF6 structure (PBE, the Alexandria database).

Cell: 4.9740 4.9740 9.3756 Å, 90.00 90.00 120.00°
Space group P-31c (No. 163)
Inequivalent atoms, fractional coordinates:
Cu  0.3333  0.6667  0.2500 (multiplicity 2)
Pt  0.0000  0.0000  0.0000 (multiplicity 2)
F  0.0089  0.3285  0.1228 (multiplicity 12)

## Properties
V	100.4	Å³/f.u.
spin magnetization	1.00	μB/f.u.
E_form (uncorrected)	-1390	meV/atom
E_tot	-4.060	eV/atom

***

(3)
# CuPtF

A geometry-optimized CuPtF structure (PBE, the Alexandria database).

Cell: 12.5951 2.7675 4.7521 Å, 90.00 90.00 90.00°
Space group Amm2 (No. 38)
Inequivalent atoms, fractional coordinates:
Cu  0.0000  0.0000  0.0000 (multiplicity 2)
Cu  0.5000  0.0000  0.3256 (multiplicity 2)
Pt  0.3315  0.0000  0.9870 (multiplicity 4)
F  0.1067  0.0000  0.4987 (multiplicity 4)

## Properties
V	41.4	Å³/f.u.
spin magnetization	0.55	μB/f.u.
E_form (uncorrected)	-556	meV/atom
E_tot	-4.559	eV/atom

***

(4)
# Cu3PtF8

A geometry-optimized Cu3PtF8 structure (PBE, the Alexandria database).

Cell: 5.6151 5.6636 6.5632 Å, 87.96 83.62 60.94°
Space group P-1 (No. 2)
Inequivalent atoms, fractional coordinates:
Cu  0.0000  0.0000  0.0000 (multiplicity 1)
Cu  0.4918  0.0299  0.2406 (multiplicity 2)
Pt  0.5000  0.5000  0.5000 (multiplicity 1)
F  0.2182  0.1762  0.9856 (multiplicity 2)
F  0.2697  0.7728  0.7623 (multiplicity 2)
F  0.2894  0.3000  0.4695 (multiplicity 2)
F  0.3164  0.7884  0.2955 (multiplicity 2)

## Properties
V	181.3	Å³/f.u.
spin magnetization	0.98	μB/f.u.
E_form (uncorrected)	-1313	meV/atom
E_tot	-4.088	eV/atom

***

(5)
# Rb2CuPtF6

A geometry-optimized Rb2CuPtF6 structure (PBE, the Alexandria database).

Cell: 6.0087 6.0087 8.7876 Å, 90.00 90.00 90.00°
Space group I4/mmm (No. 139)
Inequivalent atoms, fractional coordinates:
Rb  0.0000  0.5000  0.2500 (multiplicity 4)
Cu  0.0000  0.0000  0.0000 (multiplicity 2)
Pt  0.0000  0.0000  0.5000 (multiplicity 2)
F  0.0000  0.0000  0.2647 (multiplicity 4)
F  0.2372  0.2372  0.0000 (multiplicity 8)

## Properties
V	158.6	Å³/f.u.
relative energy among the computed polymorphs	0	meV/atom
spin magnetization	0.83	μB/f.u.
E_form (uncorrected)	-1872	meV/atom
E_tot	-4.202	eV/atom

***

(6)
# RbCu2PtF8

A geometry-optimized RbCu2PtF8 structure (PBE, the Alexandria database).

Cell: 5.7290 5.7290 25.2651 Å, 90.00 90.00 120.00°
Space group R-3m (No. 166, hexagonal axes)
Inequivalent atoms, fractional coordinates:
Rb  0.0000  0.0000  0.0000 (multiplicity 3)
Cu  0.0000  0.0000  0.2523 (multiplicity 6)
Pt  0.0000  0.0000  0.5000 (multiplicity 3)
F  0.0000  0.0000  0.3245 (multiplicity 6)
F  0.0146  0.5073  0.1178 (multiplicity 18)

## Properties
V	239.4	Å³/f.u.
spin magnetization	1.03	μB/f.u.
E_form (uncorrected)	-1531	meV/atom
E_tot	-4.046	eV/atom

***

(7)
# Rb2CuPtF6

A geometry-optimized Rb2CuPtF6 structure (PBE, the Alexandria database).

Cell: 6.0743 6.0743 31.1017 Å, 90.00 90.00 120.00°
Space group R-3m (No. 166, hexagonal axes)
Inequivalent atoms, fractional coordinates:
Rb  0.0000  0.0000  0.1294 (multiplicity 6)
Rb  0.0000  0.0000  0.2853 (multiplicity 6)
Cu  0.0000  0.0000  0.4068 (multiplicity 6)
Pt  0.0000  0.0000  0.0000 (multiplicity 3)
Pt  0.0000  0.0000  0.5000 (multiplicity 3)
F  0.0014  0.5007  0.2957 (multiplicity 18)
F  0.0215  0.5107  0.1181 (multiplicity 18)

## Properties
V	165.6	Å³/f.u.
relative energy among the computed polymorphs	36	meV/atom
spin magnetization	0.96	μB/f.u.
E_form (uncorrected)	-1835	meV/atom
E_tot	-4.165	eV/atom

***

(8)
# CuRuPt2F

A geometry-optimized CuRuPt2F structure (PBE, the Alexandria database).

Cell: 4.7877 4.7877 3.5251 Å, 90.00 90.00 90.00°
Space group P4/mmm (No. 123)
Inequivalent atoms, fractional coordinates:
Cu  0.0000  0.0000  0.0000 (multiplicity 1)
Ru  0.5000  0.5000  0.5000 (multiplicity 1)
Pt  0.0000  0.5000  0.0000 (multiplicity 2)
F  0.0000  0.0000  0.5000 (multiplicity 1)

## Properties
V	80.8	Å³/f.u.
spin magnetization	3.02	μB/f.u.
E_form (uncorrected)	628	meV/atom
E_tot	-4.837	eV/atom

***

(9)
# TaCuPt2F

A geometry-optimized TaCuPt2F structure (PBE, the Alexandria database).

Cell: 4.6178 4.6178 3.6700 Å, 90.00 90.00 90.00°
Space group P4/mmm (No. 123)
Inequivalent atoms, fractional coordinates:
Ta  0.0000  0.0000  0.0000 (multiplicity 1)
Cu  0.5000  0.5000  0.0000 (multiplicity 1)
Pt  0.0000  0.5000  0.5000 (multiplicity 2)
F  0.5000  0.5000  0.5000 (multiplicity 1)

## Properties
V	78.3	Å³/f.u.
spin magnetization	0.00	μB/f.u.
E_form (uncorrected)	392	meV/atom
E_tot	-5.589	eV/atom

***

(10)
# TlCuPtF6

A geometry-optimized TlCuPtF6 structure (PBE, the Alexandria database).

Cell: 5.7332 9.9963 5.6632 Å, 90.00 90.19 90.00°
Space group C2 (No. 5)
Inequivalent atoms, fractional coordinates:
Tl  0.0000  0.0000  0.0000 (multiplicity 2)
Cu  0.0000  0.6656  0.5000 (multiplicity 2)
Pt  0.0000  0.3328  0.5000 (multiplicity 2)
F  0.1319  0.4893  0.3188 (multiplicity 4)
F  0.1713  0.1889  0.3192 (multiplicity 4)
F  0.1988  0.8200  0.3159 (multiplicity 4)

## Properties
V	162.3	Å³/f.u.
spin magnetization	0.05	μB/f.u.
E_form (uncorrected)	-1459	meV/atom
E_tot	-4.095	eV/atom

***

(11)
# PuCu2F8

A geometry-optimized PuCu2F8 structure (PBE, the Alexandria database).

Cell: 5.6192 5.6192 10.2894 Å, 90.00 90.00 90.00°
Space group I422 (No. 97)
Inequivalent atoms, fractional coordinates:
Pu  0.0000  0.0000  0.0000 (multiplicity 2)
Cu  0.0000  0.5000  0.2500 (multiplicity 4)
F  0.1469  0.3011  0.8788 (multiplicity 16)

## Properties
V	162.4	Å³/f.u.
relative energy among the computed polymorphs	0	meV/atom
spin magnetization	2.00	μB/f.u.
E_form (uncorrected)	-2341	meV/atom
E_tot	-5.750	eV/atom

***

(12)
# Pu2CuF11

A geometry-optimized Pu2CuF11 structure (PBE, the Alexandria database).

Cell: 8.7426 9.7806 10.7631 Å, 90.00 90.00 90.00°
Space group Ibam (No. 72)
Inequivalent atoms, fractional coordinates:
Pu  0.1271  0.2002  0.0000 (multiplicity 8)
Cu  0.0000  0.5000  0.2500 (multiplicity 4)
F  0.0000  0.0000  0.0000 (multiplicity 4)
F  0.0668  0.3531  0.1352 (multiplicity 16)
F  0.1497  0.2101  0.5000 (multiplicity 8)
F  0.2261  0.0922  0.1420 (multiplicity 16)

## Properties
V	230.1	Å³/f.u.
spin magnetization	6.00	μB/f.u.
E_form (uncorrected)	-2844	meV/atom
E_tot	-6.654	eV/atom